(1)
This record from the Alexandria database describes a geometry-optimized Ba2AcCo2O6 structure. The functional is PBE+U.

space group	R-3m
total DFT energy (no corrections)	-6.3787	eV per atom
ρ	5.70	g/cm3
crystal system	trigonal

```
Ba2AcCo2O6
1.0
6.153 0.000 0.000
3.077 5.329 0.000
3.077 1.776 6.358
Ba Ac Co O
2 1 2 6
Direct
0.796 0.796 0.611
0.204 0.204 0.389
0.000 0.000 0.000
0.424 0.424 0.728
0.576 0.576 0.272
0.744 0.744 0.278
0.235 0.744 0.278
0.744 0.235 0.278
0.256 0.765 0.722
0.765 0.256 0.722
0.256 0.256 0.722
```

---

(2)
This record from the Alexandria database describes a geometry-optimized Ba2AcCoO5 structure. The functional is PBE+U.

space group	Immm
total DFT energy (no corrections)	-6.4106	eV per atom
ρ	7.44	g/cm3
crystal system	orthorhombic

```
Ba2AcCoO5
1.0
-2.528 2.559 1.303
-3.086 -4.312 2.479
6.219 1.518 3.472
Ba Ac Co O
2 1 1 5
Direct
0.201 0.201 0.403
0.799 0.799 0.597
0.000 0.500 0.000
0.500 0.000 0.000
0.609 0.857 0.219
0.391 0.143 0.781
0.391 0.638 0.781
0.609 0.362 0.219
0.000 0.000 0.000
```

---

(3)
This record from the Alexandria database describes a geometry-optimized BaAcCoO4 structure. The functional is PBE+U.

space group	P2_1/m
total DFT energy (no corrections)	-6.6921	eV per atom
ρ	6.44	g/cm3
crystal system	monoclinic

```
BaAcCoO4
1.0
-5.534 -2.200 -0.972
1.886 -2.528 -5.011
3.762 -4.998 3.937
Ba Ac Co O
2 2 2 8
Direct
0.726 0.750 0.933
0.274 0.250 0.067
0.795 0.750 0.454
0.205 0.250 0.546
0.258 0.750 0.316
0.742 0.250 0.684
0.971 0.486 0.724
0.029 0.986 0.276
0.029 0.514 0.276
0.971 0.014 0.724
0.434 0.750 0.154
0.566 0.250 0.846
0.424 0.750 0.567
0.576 0.250 0.433
```